No. 1
The following is a GGA-PBE calculation of an optimized crystal structure of Pm5Tl4Ge, from Alexandria.

```
10
Lattice="3.876 0.000 0.000 0.000 3.876 0.000 0.000 0.000 18.780" Properties=species:S:1:pos:R:3 pbc="T T T"
Pm 0.000 0.000 0.000
Pm 0.000 0.000 3.904
Pm 0.000 0.000 7.826
Pm 0.000 0.000 10.953
Pm 0.000 0.000 14.875
Tl 1.938 1.938 1.950
Tl 1.938 1.938 5.817
Tl 1.938 1.938 12.962
Tl 1.938 1.938 16.829
Ge 1.938 1.938 9.390
```

For the energy, the calculation gives -4.22 eV per atom.

***

No. 2
The following is a GGA-PBE calculation of an optimized crystal structure of Sr3SnSb2Au6, from Alexandria.

```
12
Lattice="6.152 0.000 0.000 -3.076 5.327 0.000 0.000 0.000 10.115" Properties=species:S:1:pos:R:3 pbc="T T T"
Sr 0.000 0.000 0.000
Sr 0.000 3.552 6.105
Sr 3.076 1.776 4.010
Sn 0.000 0.000 5.058
Sb 0.000 3.552 0.846
Sb 3.076 1.776 9.269
Au 0.000 1.764 2.899
Au -1.548 4.445 2.899
Au 1.528 0.882 7.216
Au 1.548 4.445 2.899
Au 4.624 0.882 7.216
Au 3.076 3.563 7.216
```

The raw formation energy is -0.534 eV/atom.

***

No. 3
The following is a GGA-PBE calculation of an optimized crystal structure of HfReSi, from Alexandria.

```
18
Lattice="12.193 0.000 0.000 0.000 3.418 0.000 0.000 0.000 6.895" Properties=species:S:1:pos:R:3 pbc="T T T"
Hf 0.571 0.000 1.685
Hf 3.048 0.000 4.523
Hf 5.526 0.000 1.685
Hf 6.667 0.000 5.210
Hf 9.145 0.000 2.372
Hf 11.623 0.000 5.210
Re 1.489 1.709 6.374
Re 3.048 1.709 2.122
Re 4.608 1.709 6.374
Re 7.585 1.709 0.522
Re 9.145 1.709 4.773
Re 10.705 1.709 0.522
Si 1.136 1.709 3.836
Si 3.048 0.000 0.351
Si 4.961 1.709 3.836
Si 7.233 1.709 3.059
Si 9.145 0.000 6.545
Si 11.057 1.709 3.059
```

The raw formation energy is -0.701 eV/atom.

***

No. 4
The following is a GGA-PBE calculation of an optimized crystal structure of NaGaTe2, from Alexandria.

```
4
Lattice="4.154 0.000 0.000 -2.077 3.597 0.000 0.000 0.000 8.255" Properties=species:S:1:pos:R:3 pbc="T T T"
Na 0.000 0.000 0.000
Ga 2.077 1.199 4.557
Te 0.000 0.000 3.065
Te 0.000 2.398 6.241
```

The raw formation energy is -0.389 eV/atom.

***

No. 5
The following is a GGA-PBE calculation of an optimized crystal structure of LiZnAg, from Alexandria.

```
3
Lattice="0.000 3.057 3.057 3.057 0.000 3.057 3.057 3.057 0.000" Properties=species:S:1:pos:R:3 pbc="T T T"
Li 0.000 0.000 0.000
Zn 1.529 1.529 1.529
Ag 3.057 3.057 3.057
```

The calculation puts the energy relative to the lowest polymorph listed for this composition at 205 meV/atom.

***

No. 6
The following is a GGA-PBE calculation of an optimized crystal structure of CsIF, from Alexandria.

```
3
Lattice="4.497 0.000 0.000 -2.248 3.894 0.000 0.000 0.000 6.856" Properties=species:S:1:pos:R:3 pbc="T T T"
Cs 0.000 0.000 0.000
I 2.248 1.298 3.413
F 0.000 2.596 5.925
```

The raw formation energy is -1.349 eV/atom.

***

no.,DOS at the Fermi energy (states/eV/atom)
1,0.829
2,0.485
3,0.246
4,0.401
5,0.616
6,1.504